Compound: Ta2Au2Cl
Source: the Alexandria database
Functional: GGA-PBE
Structure: optimized geometry

Output
The calculation puts the total energy at -0.445 Ry per atom.

The structure in CIF format:
```
data_Ta2Au2Cl
_chemical_formula_sum 'Ta4 Au4 Cl2'
_cell_length_a 3.781
_cell_length_b 3.781
_cell_length_c 15.023
_cell_angle_alpha 90.00
_cell_angle_beta 90.00
_cell_angle_gamma 90.00
_symmetry_space_group_name_H-M 'I 4/m m m'
_symmetry_Int_Tables_number 139
_symmetry_space_group_name_Hall '-I 4 2'
loop_
_atom_site_label
_atom_site_type_symbol
_atom_site_fract_x
_atom_site_fract_y
_atom_site_fract_z
Ta1 Ta 0.000 0.500 0.250
Au1 Au 0.000 0.000 0.109
Cl1 Cl 0.000 0.000 0.500
```